#w
VASP calculation (PBE-GGA) on ZrIrN2 after structural relaxation.

Computed properties:
As for the spin magnetization: 0.00 μB per cell.

a = 6.830 Å, b = 4.164 Å, c = 3.301 Å
α = 90.00°, β = 90.00°, γ = 90.00°
Sites, in units of the cell vectors:
N1 0.000 0.000 0.555
Ir1 0.000 0.500 0.728
Zr1 0.247 0.000 0.044
Ir2 0.500 0.500 0.363
N2 0.500 0.000 0.516
N3 0.697 0.500 0.828
N4 0.303 0.500 0.828
Zr2 0.753 0.000 0.044



#x
VASP calculation (PBE-GGA) on ZrIrN2 after structural relaxation.

Computed properties:
As for the spin magnetization: 0.00 μB per cell.

a = 5.581 Å, b = 3.178 Å, c = 10.846 Å
α = 90.00°, β = 95.10°, γ = 90.00°
Sites, in units of the cell vectors:
Ir1 0.879 0.000 0.592
N1 0.178 0.500 0.975
Zr1 0.405 0.500 0.582
N2 0.053 0.500 0.688
N3 0.053 0.000 0.188
Zr2 0.405 0.000 0.082
Zr3 0.005 0.000 0.843
Ir2 0.879 0.500 0.092
N4 0.705 0.500 0.463
N5 0.573 0.500 0.209
Ir3 0.588 0.500 0.828
Ir4 0.588 0.000 0.328
Zr4 0.005 0.500 0.343
N6 0.705 0.000 0.963
N7 0.178 0.000 0.475
N8 0.573 0.000 0.709



#y
VASP calculation (PBE-GGA) on ZrIrN2 after structural relaxation.

Computed properties:
As for the spin magnetization: 0.00 μB per cell.

a = 3.078 Å, b = 5.710 Å, c = 5.697 Å
α = 90.00°, β = 90.00°, γ = 90.00°
Sites, in units of the cell vectors:
Zr1 0.500 0.844 0.012
N1 0.000 0.955 0.741
Zr2 0.500 0.156 0.512
N2 0.000 0.045 0.241
Ir1 0.000 0.712 0.442
Ir2 0.000 0.288 0.942
N3 0.000 0.416 0.613
N4 0.000 0.584 0.113



#z
VASP calculation (PBE-GGA) on ZrIrN2 after structural relaxation.

Computed properties:
As for the spin magnetization: 0.00 μB per cell.

a = 3.086 Å, b = 5.594 Å, c = 5.937 Å
α = 107.68°, β = 99.06°, γ = 91.58°
Sites, in units of the cell vectors:
N1 0.220 0.709 0.459
Ir1 0.711 0.490 0.489
N2 0.716 0.153 0.566
Ir2 0.512 0.920 0.790
Zr1 0.009 0.406 0.930
Zr2 0.137 0.999 0.262
N3 0.555 0.715 0.035
N4 0.592 0.224 0.112



In terms of stability, #y leads; the second structure lies 62 meV/atom higher.



#w
VASP calculation (PBE-GGA) on ZrIrN2 after structural relaxation.

Computed properties:
As for the spin magnetization: 0.00 μB per cell.

a = 5.709 Å, b = 2.954 Å, c = 5.937 Å
α = 90.00°, β = 94.47°, γ = 90.00°
Sites, in units of the cell vectors:
N1 0.252 0.000 0.502
N2 0.287 0.000 0.044
Zr1 0.071 0.500 0.226
Ir1 0.035 0.000 0.760
Ir2 0.510 0.500 0.522
N3 0.866 0.500 0.558
N4 0.813 0.000 0.071
Zr2 0.550 0.500 0.960



#x
VASP calculation (PBE-GGA) on ZrIrN2 after structural relaxation.

Computed properties:
As for the spin magnetization: 0.00 μB per cell.

a = 4.367 Å, b = 4.367 Å, c = 6.448 Å
α = 70.20°, β = 70.20°, γ = 90.00°
Sites, in units of the cell vectors:
N1 0.375 0.351 0.750
N2 0.101 0.625 0.250
Zr1 0.250 0.750 0.500
Ir1 0.000 0.000 0.000
N3 0.649 0.125 0.250
Zr2 0.500 0.500 0.000
Ir2 0.750 0.250 0.500
N4 0.875 0.899 0.750



#y
VASP calculation (PBE-GGA) on ZrIrN2 after structural relaxation.

Computed properties:
As for the spin magnetization: 1.00 μB per cell.

a = 6.432 Å, b = 6.432 Å, c = 6.432 Å
α = 29.25°, β = 29.25°, γ = 29.25°
Last column: magnetic moment on the atom in μB.
Sites, in units of the cell vectors:
Zr1 0.500 0.500 0.500  0.09
Ir1 0.000 0.000 0.000  0.63
N1 0.104 0.104 0.104  0.10
N2 0.896 0.896 0.896  0.10



In terms of stability, #w leads; the second structure lies 122 meV/atom higher.



#w
VASP calculation (PBE-GGA) on ZrIr3N after structural relaxation.

Computed properties:
As for the spin magnetization: 0.00 μB per cell.

a = 4.167 Å, b = 4.167 Å, c = 4.167 Å
α = 90.00°, β = 90.00°, γ = 90.00°
Sites, in units of the cell vectors:
Ir1 0.000 0.500 0.000
Zr1 0.500 0.500 0.500
Ir2 0.000 0.000 0.500
N1 0.000 0.000 0.000
Ir3 0.500 0.000 0.000



#x
VASP calculation (PBE-GGA) on ZrIr3N after structural relaxation.

Computed properties:
As for the spin magnetization: 4.18 μB per cell.

a = 4.934 Å, b = 4.934 Å, c = 4.934 Å
α = 90.00°, β = 90.00°, γ = 90.00°
Last column: magnetic moment on the atom in μB.
Sites, in units of the cell vectors:
Zr1 0.000 0.000 0.000  -0.13
N1 0.500 0.500 0.500  1.62
Ir1 0.000 0.000 0.500  0.71
Ir2 0.500 0.000 0.000  0.58
Ir3 0.000 0.500 0.000  0.73



In terms of stability, #w leads; the second structure lies 2775 meV/atom higher.



#w
VASP calculation (PBE-GGA) on Na3NbIr after structural relaxation.

Computed properties:
As for the spin magnetization: 3.93 μB per cell.

a = 5.343 Å, b = 5.343 Å, c = 5.343 Å
α = 90.00°, β = 90.00°, γ = 90.00°
Last column: magnetic moment on the atom in μB.
Sites, in units of the cell vectors:
Na1 0.000 0.000 0.500  0.01
Na2 0.500 0.000 0.000  0.00
Ir1 0.000 0.000 0.000  -0.51
Na3 0.000 0.500 0.000  0.02
Nb1 0.500 0.500 0.500  3.00



#x
VASP calculation (PBE-GGA) on Na3NbIr after structural relaxation.

Computed properties:
As for the spin magnetization: 5.01 μB per cell.

a = 5.547 Å, b = 5.547 Å, c = 5.547 Å
α = 90.00°, β = 90.00°, γ = 90.00°
Last column: magnetic moment on the atom in μB.
Sites, in units of the cell vectors:
Ir1 0.500 0.500 0.500  0.06
Na1 0.500 0.000 0.000  0.07
Na2 0.000 0.500 0.000  0.05
Na3 0.000 0.000 0.500  0.04
Nb1 0.000 0.000 0.000  3.37



In terms of stability, #w leads; the second structure lies 586 meV/atom higher.



#w
VASP calculation (PBE-GGA) on NaNd2Ir after structural relaxation.

Computed properties:
As for the spin magnetization: 0.00 μB per cell.

a = 4.159 Å, b = 4.159 Å, c = 10.918 Å
α = 79.02°, β = 79.02°, γ = 60.00°
Sites, in units of the cell vectors:
Nd1 0.880 0.880 0.360
Ir1 0.500 0.500 0.500
Nd2 0.120 0.120 0.640
Na1 0.000 0.000 0.000



#x
VASP calculation (PBE-GGA) on NaNd2Ir after structural relaxation.

Computed properties:
As for the spin magnetization: 0.00 μB per cell.

a = 4.217 Å, b = 4.217 Å, c = 9.416 Å
α = 77.06°, β = 77.06°, γ = 60.00°
Sites, in units of the cell vectors:
Nd1 0.053 0.053 0.840
Ir1 0.666 0.666 0.001
Na1 0.501 0.501 0.497
Nd2 0.279 0.279 0.162



#y
VASP calculation (PBE-GGA) on NaNd2Ir after structural relaxation.

Computed properties:
As for the spin magnetization: 0.00 μB per cell.

a = 3.592 Å, b = 3.592 Å, c = 9.514 Å
α = 90.00°, β = 90.00°, γ = 90.00°
Sites, in units of the cell vectors:
Nd1 0.000 0.000 0.174
Nd2 0.000 0.000 0.826
Ir1 0.500 0.500 0.000
Na1 0.500 0.500 0.500



In terms of stability, #x leads; the second structure lies 70 meV/atom higher.



#w
VASP calculation (PBE-GGA) on NaNiIr3 after structural relaxation.

Computed properties:
As for the spin magnetization: 2.53 μB per cell.

a = 4.442 Å, b = 4.442 Å, c = 4.442 Å
α = 90.00°, β = 90.00°, γ = 90.00°
Last column: magnetic moment on the atom in μB.
Sites, in units of the cell vectors:
Ir1 0.000 0.000 0.500  0.43
Ir2 0.500 0.000 0.000  0.60
Na1 0.000 0.000 0.000  -0.01
Ir3 0.000 0.500 0.000  0.50
Ni1 0.500 0.500 0.500  1.08



#x
VASP calculation (PBE-GGA) on NaNiIr3 after structural relaxation.

Computed properties:
As for the spin magnetization: 3.31 μB per cell.

a = 4.553 Å, b = 4.553 Å, c = 4.553 Å
α = 90.00°, β = 90.00°, γ = 90.00°
Last column: magnetic moment on the atom in μB.
Sites, in units of the cell vectors:
Ir1 0.000 0.500 0.000  0.79
Ir2 0.000 0.000 0.500  1.24
Ni1 0.000 0.000 0.000  0.81
Na1 0.500 0.500 0.500  0.00
Ir3 0.500 0.000 0.000  0.47



In terms of stability, #x leads; the second structure lies 1190 meV/atom higher.



#w
VASP calculation (PBE-GGA) on Na2NiIr2 after structural relaxation.

Computed properties:
As for the spin magnetization: 1.17 μB per cell.

a = 3.223 Å, b = 3.223 Å, c = 7.893 Å
α = 78.22°, β = 78.22°, γ = 90.00°
Last column: magnetic moment on the atom in μB.
Sites, in units of the cell vectors:
Ir1 0.587 0.587 0.826  0.39
Ni1 0.000 0.000 0.000  0.39
Na1 0.750 0.250 0.500  -0.01
Na2 0.250 0.750 0.500  -0.01
Ir2 0.413 0.413 0.174  0.39



#x
VASP calculation (PBE-GGA) on Na2NiIr2 after structural relaxation.

Computed properties:
As for the spin magnetization: 3.66 μB per cell.

a = 6.163 Å, b = 6.163 Å, c = 4.955 Å
α = 90.00°, β = 90.00°, γ = 90.00°
Last column: magnetic moment on the atom in μB.
Sites, in units of the cell vectors:
Ir1 0.363 0.863 0.000  0.55
Na1 0.675 0.825 0.500  0.00
Na2 0.175 0.675 0.500  0.00
Ir2 0.637 0.137 0.000  0.54
Ni1 0.500 0.500 0.000  0.74
Ir3 0.863 0.637 0.000  0.56
Na3 0.825 0.325 0.500  0.00
Na4 0.325 0.175 0.500  0.00
Ni2 0.000 0.000 0.000  0.74
Ir4 0.137 0.363 0.000  0.56



In terms of stability, #x leads; the second structure lies 594 meV/atom higher.



#w
VASP calculation (PBE-GGA) on Na3IrO after structural relaxation.

Computed properties:
As for the spin magnetization: 2.00 μB per cell.

a = 5.493 Å, b = 5.493 Å, c = 5.493 Å
α = 90.00°, β = 90.00°, γ = 90.00°
Last column: magnetic moment on the atom in μB.
Sites, in units of the cell vectors:
O1 0.500 0.500 0.500  0.87
Na1 0.000 0.500 0.000  -0.01
Na2 0.500 0.000 0.000  -0.01
Ir1 0.000 0.000 0.000  0.98
Na3 0.000 0.000 0.500  -0.01



#x
VASP calculation (PBE-GGA) on Na3IrO after structural relaxation.

Computed properties:
As for the spin magnetization: 2.00 μB per cell.

a = 4.592 Å, b = 4.592 Å, c = 4.592 Å
α = 90.00°, β = 90.00°, γ = 90.00°
Last column: magnetic moment on the atom in μB.
Sites, in units of the cell vectors:
Na1 0.500 0.000 0.000  -0.01
Ir1 0.500 0.500 0.500  1.64
Na2 0.000 0.500 0.000  -0.01
Na3 0.000 0.000 0.500  -0.01
O1 0.000 0.000 0.000  0.26



In terms of stability, #x leads; the second structure lies 786 meV/atom higher.



#w
VASP calculation (PBE-GGA) on NaIr3O after structural relaxation.

Computed properties:
As for the spin magnetization: 0.00 μB per cell.

a = 4.176 Å, b = 4.176 Å, c = 4.176 Å
α = 90.00°, β = 90.00°, γ = 90.00°
Sites, in units of the cell vectors:
Ir1 0.000 0.000 0.500
Na1 0.500 0.500 0.500
O1 0.000 0.000 0.000
Ir2 0.500 0.000 0.000
Ir3 0.000 0.500 0.000



#x
VASP calculation (PBE-GGA) on NaIr3O after structural relaxation.

Computed properties:
As for the spin magnetization: 5.94 μB per cell.

a = 4.604 Å, b = 4.604 Å, c = 4.604 Å
α = 90.00°, β = 90.00°, γ = 90.00°
Last column: magnetic moment on the atom in μB.
Sites, in units of the cell vectors:
O1 0.500 0.500 0.500  1.17
Ir1 0.500 0.000 0.000  1.46
Na1 0.000 0.000 0.000  -0.02
Ir2 0.000 0.000 0.500  1.43
Ir3 0.000 0.500 0.000  1.65



In terms of stability, #w leads; the second structure lies 2290 meV/atom higher.



#w
VASP calculation (PBE-GGA) on Na3IrO3 after structural relaxation.

Computed properties:
As for the spin magnetization: 2.08 μB per cell.

a = 6.250 Å, b = 6.250 Å, c = 6.315 Å
α = 102.84°, β = 102.84°, γ = 99.53°
Last column: magnetic moment on the atom in μB.
Sites, in units of the cell vectors:
Na1 0.634 0.634 0.423  0.00
Na2 0.181 0.819 0.500  0.00
Na3 0.245 0.755 0.000  0.00
O1 0.225 0.510 0.258  -0.06
O2 0.490 0.775 0.742  -0.06
O3 0.775 0.490 0.742  -0.06
O4 0.510 0.225 0.258  -0.06
O5 0.145 0.145 0.731  -0.18
Ir1 0.732 0.732 0.965  -0.63
O6 0.855 0.855 0.269  -0.18
Na4 0.819 0.181 0.500  0.00
Na5 0.366 0.366 0.577  0.00
Na6 0.755 0.245 0.000  0.00
Ir2 0.268 0.268 0.035  -0.63



#x
VASP calculation (PBE-GGA) on Na3IrO3 after structural relaxation.

Computed properties:
As for the spin magnetization: 0.00 μB per cell.

a = 4.780 Å, b = 7.475 Å, c = 7.475 Å
α = 120.00°, β = 90.00°, γ = 90.00°
Sites, in units of the cell vectors:
O1 0.750 0.188 0.810
Ir1 0.250 0.667 0.333
O2 0.750 0.190 0.378
Na1 0.250 0.648 0.825
Na2 0.750 0.352 0.175
O3 0.250 0.378 0.188
O4 0.750 0.622 0.812
O5 0.250 0.812 0.190
Na3 0.750 0.825 0.177
O6 0.250 0.810 0.622
Na4 0.750 0.823 0.648
Na5 0.250 0.175 0.823
Ir2 0.750 0.333 0.667
Na6 0.250 0.177 0.352



In terms of stability, #x leads; the second structure lies 130 meV/atom higher.